PBEsol Li2ZrSn, relaxed; total DFT energy (no corrections) = -4.3597 eV/atom; magnetization = 0.97 Bohr magnetons per cell
1.0
-1.246 -1.381 -3.583
0.442 -3.794 1.308
-9.594 2.618 4.602
Zr Li Sn
2 4 2
direct
0.500 0.500 0.000 Zr
0.750 0.250 0.500 Zr
0.625 0.646 0.750 Li
0.354 0.875 0.250 Li
0.125 0.104 0.750 Li
0.896 0.375 0.250 Li
0.250 0.750 0.500 Sn
0.000 0.000 0.000 Sn

=====

PBEsol KPH5C2S2N3O3, relaxed; total DFT energy (no corrections) = -6.2494 eV/atom; magnetization = 0.00 Bohr magnetons per cell
1.0
6.472 0.051 -0.041
0.777 6.929 0.069
1.972 -0.102 10.292
O S P C K N H
6 4 2 4 2 6 10
direct
0.194 0.600 0.069 O
0.806 0.400 0.931 O
0.099 0.280 0.610 O
0.410 0.143 0.874 O
0.590 0.857 0.126 O
0.901 0.720 0.390 O
0.331 0.648 0.606 S
0.669 0.352 0.394 S
0.816 0.837 0.685 S
0.184 0.163 0.315 S
0.098 0.788 0.732 P
0.902 0.212 0.268 P
0.309 0.003 0.865 C
0.195 0.704 0.970 C
0.691 0.997 0.135 C
0.805 0.296 0.030 C
0.321 0.661 0.295 K
0.679 0.339 0.705 K
0.073 0.680 0.881 N
0.927 0.320 0.119 N
0.677 0.150 0.050 N
0.818 0.005 0.223 N
0.323 0.850 0.950 N
0.182 0.995 0.777 N
0.833 0.886 0.288 H
0.969 0.573 0.901 H
0.881 0.763 0.483 H
0.172 0.399 0.607 H
0.427 0.857 0.016 H
0.167 0.114 0.712 H
0.031 0.427 0.099 H
0.119 0.237 0.517 H
0.828 0.601 0.393 H
0.573 0.143 0.984 H

=====

PBEsol CsRb2CdB, relaxed; total DFT energy (no corrections) = -1.6749 eV/atom; magnetization = 0.07 Bohr magnetons per cell
1.0
-1.164 2.576 -3.411
-4.905 -4.282 -1.561
-4.204 3.366 3.977
Rb B Cs Cd
2 1 1 1
direct
0.000 0.000 0.500 Rb
0.000 0.500 0.000 Rb
0.000 0.000 0.000 B
0.500 0.500 0.500 Cs
0.500 0.000 0.000 Cd

=====

PBEsol RbIn2As2, relaxed; total DFT energy (no corrections) = -3.6821 eV/atom; magnetization = 0.00 Bohr magnetons per cell
1.0
-0.948 -1.583 4.679
3.803 -3.275 -0.338
1.892 6.087 -0.261
In As Rb
2 2 1
direct
0.634 0.634 0.268 In
0.366 0.366 0.732 In
0.750 0.250 0.500 As
0.250 0.750 0.500 As
0.000 0.000 0.000 Rb

=====

PBEsol Sm2Zn6Ge3, relaxed; total DFT energy (no corrections) = -3.5798 eV/atom; magnetization = 0.00 Bohr magnetons per cell
1.0
-2.683 0.821 -2.852
-4.791 -4.852 3.112
-0.047 7.191 2.114
Zn Ge Sm
6 3 2
direct
0.500 0.285 0.285 Zn
0.000 0.810 0.810 Zn
0.500 0.715 0.000 Zn
0.500 0.000 0.715 Zn
0.000 0.000 0.190 Zn
0.000 0.190 0.000 Zn
0.500 0.386 0.000 Ge
0.500 0.000 0.386 Ge
0.500 0.614 0.614 Ge
0.000 0.667 0.333 Sm
0.000 0.333 0.667 Sm

=====

PBEsol PrAl22O34, relaxed; ΔE_f (raw) = -3.014 eV per atom; total DFT energy (no corrections) = -7.8157 eV/atom; magnetization = 1.00 Bohr magnetons per cell; offset from the most stable computed form = 0.000 eV per atom
1.0
-3.970 -3.815 1.076
5.947 -4.401 6.294
-5.904 7.937 6.247
O Al Pr
34 22 1
direct
0.498 0.797 0.887 O
0.501 0.314 0.900 O
0.250 0.157 0.713 O
0.750 0.655 0.711 O
0.267 0.453 0.102 O
0.764 0.955 0.099 O
0.503 0.591 0.285 O
0.504 0.403 0.709 O
0.744 0.339 0.290 O
0.002 0.298 0.892 O
0.004 0.593 0.293 O
0.736 0.454 0.101 O
0.238 0.955 0.100 O
0.498 0.203 0.108 O
0.253 0.847 0.294 O
0.501 0.690 0.101 O
0.751 0.158 0.713 O
0.263 0.343 0.300 O
0.235 0.045 0.899 O
0.499 0.903 0.705 O
0.001 0.094 0.283 O
0.000 0.403 0.713 O
0.734 0.545 0.901 O
0.002 0.703 0.113 O
0.249 0.653 0.705 O
0.999 0.907 0.714 O
0.002 0.190 0.100 O
0.889 0.468 0.500 O
0.001 0.810 0.900 O
0.765 0.045 0.900 O
0.503 0.103 0.291 O
0.268 0.545 0.899 O
0.753 0.846 0.293 O
0.505 0.057 0.500 O
0.755 0.347 0.791 Al
0.747 0.845 0.782 Al
0.001 0.097 0.785 Al
0.501 0.502 0.001 Al
0.250 0.152 0.209 Al
0.500 0.149 0.945 Al
0.252 0.656 0.219 Al
0.500 0.055 0.648 Al
0.001 0.650 0.949 Al
0.001 0.351 0.051 Al
0.000 0.448 0.358 Al
0.752 0.149 0.205 Al
0.249 0.346 0.788 Al
0.250 0.844 0.780 Al
0.755 0.655 0.218 Al
0.003 0.903 0.218 Al
0.499 0.598 0.784 Al
0.500 0.402 0.210 Al
0.504 0.953 0.354 Al
0.996 0.547 0.645 Al
0.500 0.848 0.048 Al
0.002 0.997 0.997 Al
0.549 0.309 0.478 Pr

=====

PBEsol Ni2HgRh, relaxed; total DFT energy (no corrections) = -4.9650 eV/atom; magnetization = 1.38 Bohr magnetons per cell
1.0
-0.368 0.494 2.679
-2.543 0.256 1.014
-1.207 -8.024 2.726
Ni Hg Rh
2 1 1
direct
0.008 0.008 0.976 Ni
0.747 0.747 0.759 Ni
0.253 0.253 0.240 Hg
0.491 0.491 0.526 Rh

=====

PBEsol MgCuH2, relaxed; total DFT energy (no corrections) = -3.0616 eV/atom; magnetization = 0.00 Bohr magnetons per cell
1.0
4.179 0.000 0.000
0.000 4.179 0.000
-2.089 -2.089 4.447
Cu H Mg
2 4 2
direct
0.000 0.000 0.000 Cu
0.250 0.750 0.500 Cu
0.953 0.375 0.250 H
0.625 0.703 0.750 H
0.297 0.875 0.250 H
0.125 0.047 0.750 H
0.500 0.500 0.000 Mg
0.750 0.250 0.500 Mg

=====

PBEsol HgTe2Au, relaxed; ΔE_f (raw) = -0.030 eV per atom; total DFT energy (no corrections) = -2.9161 eV/atom; magnetization = 0.00 Bohr magnetons per cell
1.0
6.321 0.000 0.000
0.000 6.321 0.000
-3.160 -3.160 6.324
Te Hg Au
4 2 2
direct
0.125 0.145 0.750 Te
0.395 0.875 0.250 Te
0.855 0.375 0.250 Te
0.625 0.605 0.750 Te
0.000 0.000 0.000 Hg
0.250 0.750 0.500 Hg
0.750 0.250 0.500 Au
0.500 0.500 0.000 Au

=====

PBEsol Ca2TlTc, relaxed; total DFT energy (no corrections) = -4.1535 eV/atom; magnetization = 1.13 Bohr magnetons per cell; offset from the most stable computed form = 0.025 eV per atom
1.0
4.474 0.000 0.000
0.000 4.474 0.000
-2.237 -2.237 4.494
Ca Tl Tc
2 1 1
direct
0.750 0.250 0.500 Ca
0.250 0.750 0.500 Ca
0.500 0.500 0.000 Tl
0.000 0.000 0.000 Tc